Record 1
The following is a DFT calculation (PBE) of BeRuO2 after structural relaxation.

It has space group I-42d (No. 122), with a = 4.376 Å, b = 4.376 Å, c = 7.905 Å, α = 90.00°, β = 90.00° and γ = 90.00°. The inequivalent atoms are Be at (0.000, 0.000, 0.000), Ru at (0.000, 0.000, 0.500) and O at (0.164, 0.250, 0.125).

Its final energy is -0.511 Ry/atom. As for the crystal system: tetragonal. The formation energy from raw total energies is -1.228 eV per atom. The energy above the most stable polymorph in this dataset is 75 meV/atom.

Record 2
The following is a DFT calculation (PBE) of AcEuTlNi after structural relaxation.

It has space group F-43m (No. 216), with a = 7.731 Å, b = 7.731 Å, c = 7.731 Å, α = 90.00°, β = 90.00° and γ = 90.00°. The inequivalent atoms are Ac at (0.000, 0.000, 0.000), Eu at (0.000, 0.000, 0.500), Tl at (0.250, 0.250, 0.750) and Ni at (0.250, 0.250, 0.250).

Its final energy is -0.423 Ry/atom. As for the crystal system: cubic. The formation energy comes out at -0.1213 eV/atom.

Record 3
The following is a DFT calculation (PBE) of Ti3GeBr after structural relaxation.

It has space group Pm-3m (No. 221), with a = 4.912 Å, b = 4.912 Å, c = 4.912 Å, α = 90.00°, β = 90.00° and γ = 90.00°. The inequivalent atoms are Ti at (0.000, 0.000, 0.500), Ge at (0.000, 0.000, 0.000) and Br at (0.500, 0.500, 0.500).

Its final energy is -0.403 Ry/atom. As for the crystal system: cubic. The formation energy from raw total energies is 0.519 eV per atom. The energy above the most stable polymorph in this dataset is 0 meV/atom.

Record 4
The following is a DFT calculation (PBE) of SmYIr after structural relaxation.

It has space group P2_1/c (No. 14), with a = 7.049 Å, b = 6.528 Å, c = 7.771 Å, α = 90.00°, β = 90.11° and γ = 90.00°. The inequivalent atoms are Sm at (0.079, 0.239, 0.110), Y at (0.424, 0.737, 0.612) and Ir at (0.253, 0.504, 0.352).

Its final energy is -0.534 Ry/atom. As for the crystal system: monoclinic. The energy above the most stable polymorph in this dataset is 38 meV/atom. The formation energy comes out at -0.5802 eV/atom.

Q: Look up the final energy of the first one.
A: -0.511 Ry/atom